The following is a PBE calculation of a geometry-optimized Zr2InSn structure, from Alexandria.

Geometry as CIF:
```
data_Zr2InSn
_cell_length_a 7.9277
_cell_length_b 7.9277
_cell_length_c 6.1847
_cell_angle_alpha 90.00
_cell_angle_beta 90.00
_cell_angle_gamma 90.00
_symmetry_space_group_name_H-M 'I -4 2 d'
_symmetry_Int_Tables_number 122
_symmetry_space_group_name_Hall 'I -4 2bw'
loop_
_atom_site_label
_atom_site_type_symbol
_atom_site_fract_x
_atom_site_fract_y
_atom_site_fract_z
_atom_site_occupancy
Zr1 Zr 0.2472 0.2500 0.1250 1
In1 In 0.0000 0.0000 0.5000 1
Sn1 Sn 0.0000 0.0000 0.0000 1
```

Results
Crystal system ... tetragonal
DOS(E_F) ... 9.9 states/eV per cell
Formation energy ... -41 kJ/mol of formula units
Raw total energy ... -6.07 eV per atom
M_tot ... 0.000 μB/atom